Here is a relaxed structure of InFe2Au from the Alexandria database. Energies are from PBE-GGA.

The structure in POSCAR format:
```
InFe2Au
1.0
2.992 0.000 0.000
-1.496 2.591 0.000
0.000 0.000 25.612
In Fe Au
3 6 3
direct
0.000 0.000 0.000
0.333 0.667 0.667
0.667 0.333 0.333
0.000 0.000 0.246
0.000 0.000 0.514
0.333 0.667 0.181
0.333 0.667 0.913
0.667 0.333 0.580
0.667 0.333 0.847
0.000 0.000 0.764
0.333 0.667 0.431
0.667 0.333 0.098
```

Properties
The magnetic moment comes out at 1.33 μB/atom. As for the formation energy: 0.264 eV per atom. The density of states at the Fermi level comes out at 6.72 states/eV per cell. The total energy is -5.4713 eV per atom. The density comes out at 10.62 Mg/m³.